i:
Density functional theory data (PBE) for a relaxed Nb3ReN crystal.

Magnetization, Bohr magnetons per cell: 0.0
Fermi-level density of states, states/eV per cell: 4.5

Cell lengths 4.2490, 4.2490, 4.2490 Å; angles 90.00, 90.00, 90.00 degrees
Fractional coordinates of all 5 atoms:
Re1 0.5000 0.5000 0.5000
Nb1 0.0000 0.5000 0.0000
Nb2 0.0000 0.0000 0.5000
Nb3 0.5000 0.0000 0.0000
N1 0.0000 0.0000 0.0000



ii:
Density functional theory data (PBE) for a relaxed Nb3ReN crystal.

Magnetization, Bohr magnetons per cell: 0.0
Fermi-level density of states, states/eV per cell: 5.2

Cell lengths 4.8343, 4.8343, 4.8343 Å; angles 90.00, 90.00, 90.00 degrees
Fractional coordinates of all 5 atoms:
Re1 0.0000 0.0000 0.0000
Nb1 0.0000 0.5000 0.0000
Nb2 0.0000 0.0000 0.5000
Nb3 0.5000 0.0000 0.0000
N1 0.5000 0.5000 0.5000



i comes first in stability; the runner-up is 2.493 eV/atom higher.



i:
Density functional theory data (PBE) for a relaxed NbReSN2 crystal.

Magnetization, Bohr magnetons per cell: 4.1
Fermi-level density of states, states/eV per cell: 3.3

Cell lengths 3.9716, 3.9716, 5.1846 Å; angles 90.00, 90.00, 90.00 degrees
Site moments in Bohr magnetons follow the coordinates.
Fractional coordinates of all 5 atoms:
Re1 0.5000 0.5000 0.5000  3.50
Nb1 0.0000 0.0000 0.0000  0.07
S1 0.0000 0.0000 0.5000  0.00
N1 0.0000 0.5000 0.0000  -0.03
N2 0.5000 0.0000 0.0000  -0.03



ii:
Density functional theory data (PBE) for a relaxed NbReSN2 crystal.

Magnetization, Bohr magnetons per cell: 1.8
Fermi-level density of states, states/eV per cell: 5.4

Cell lengths 3.8296, 3.8296, 4.9965 Å; angles 90.00, 90.00, 90.00 degrees
Site moments in Bohr magnetons follow the coordinates.
Fractional coordinates of all 5 atoms:
Re1 0.0000 0.0000 0.0000  0.00
Nb1 0.5000 0.5000 0.5000  1.83
S1 0.0000 0.0000 0.5000  -0.04
N1 0.0000 0.5000 0.0000  -0.09
N2 0.5000 0.0000 0.0000  -0.09



ii comes first in stability; the runner-up is 0.522 eV/atom higher.



i:
Density functional theory data (PBE) for a relaxed NbReS2N crystal.

Magnetization, Bohr magnetons per cell: 2.3
Fermi-level density of states, states/eV per cell: 5.1

Cell lengths 4.7942, 4.7942, 3.7007 Å; angles 90.00, 90.00, 90.00 degrees
Site moments in Bohr magnetons follow the coordinates.
Fractional coordinates of all 5 atoms:
Re1 0.0000 0.0000 0.0000  0.01
Nb1 0.5000 0.5000 0.5000  2.04
S1 0.0000 0.5000 0.0000  -0.07
S2 0.5000 0.0000 0.0000  -0.07
N1 0.0000 0.0000 0.5000  0.00



ii:
Density functional theory data (PBE) for a relaxed NbReS2N crystal.

Magnetization, Bohr magnetons per cell: 4.6
Fermi-level density of states, states/eV per cell: 3.2

Cell lengths 4.9231, 4.9231, 3.8669 Å; angles 90.00, 90.00, 90.00 degrees
Site moments in Bohr magnetons follow the coordinates.
Fractional coordinates of all 5 atoms:
Re1 0.5000 0.5000 0.5000  3.66
Nb1 0.0000 0.0000 0.0000  0.08
S1 0.0000 0.5000 0.0000  -0.01
S2 0.5000 0.0000 0.0000  -0.01
N1 0.0000 0.0000 0.5000  0.13



i comes first in stability; the runner-up is 0.425 eV/atom higher.



i:
Density functional theory data (PBE) for a relaxed NbReTeN2 crystal.

Magnetization, Bohr magnetons per cell: 4.1
Fermi-level density of states, states/eV per cell: 5.0

Cell lengths 4.0238, 4.0238, 5.9367 Å; angles 90.00, 90.00, 90.00 degrees
Site moments in Bohr magnetons follow the coordinates.
Fractional coordinates of all 5 atoms:
Re1 0.5000 0.5000 0.5000  3.13
Nb1 0.0000 0.0000 0.0000  0.04
Te1 0.0000 0.0000 0.5000  -0.01
N1 0.0000 0.5000 0.0000  0.11
N2 0.5000 0.0000 0.0000  0.11



ii:
Density functional theory data (PBE) for a relaxed NbReTeN2 crystal.

Magnetization, Bohr magnetons per cell: 2.1
Fermi-level density of states, states/eV per cell: 4.7

Cell lengths 3.9210, 3.9210, 5.6823 Å; angles 90.00, 90.00, 90.00 degrees
Site moments in Bohr magnetons follow the coordinates.
Fractional coordinates of all 5 atoms:
Re1 0.0000 0.0000 0.0000  0.08
Nb1 0.5000 0.5000 0.5000  1.92
Te1 0.0000 0.0000 0.5000  -0.04
N1 0.0000 0.5000 0.0000  -0.08
N2 0.5000 0.0000 0.0000  -0.08



ii comes first in stability; the runner-up is 0.341 eV/atom higher.



i:
Density functional theory data (PBE) for a relaxed NbReTe2N crystal.

Magnetization, Bohr magnetons per cell: 2.6
Fermi-level density of states, states/eV per cell: 6.1

Cell lengths 5.4163, 5.4163, 3.7155 Å; angles 90.00, 90.00, 90.00 degrees
Site moments in Bohr magnetons follow the coordinates.
Fractional coordinates of all 5 atoms:
Re1 0.0000 0.0000 0.0000  0.21
Nb1 0.5000 0.5000 0.5000  2.05
Te1 0.0000 0.5000 0.0000  -0.08
Te2 0.5000 0.0000 0.0000  -0.08
N1 0.0000 0.0000 0.5000  -0.02



ii:
Density functional theory data (PBE) for a relaxed NbReTe2N crystal.

Magnetization, Bohr magnetons per cell: 3.7
Fermi-level density of states, states/eV per cell: 4.4

Cell lengths 5.5099, 5.5099, 3.8541 Å; angles 90.00, 90.00, 90.00 degrees
Site moments in Bohr magnetons follow the coordinates.
Fractional coordinates of all 5 atoms:
Re1 0.5000 0.5000 0.5000  3.10
Nb1 0.0000 0.0000 0.0000  0.30
Te1 0.0000 0.5000 0.0000  -0.10
Te2 0.5000 0.0000 0.0000  -0.10
N1 0.0000 0.0000 0.5000  -0.01



i comes first in stability; the runner-up is 0.432 eV/atom higher.



i:
Density functional theory data (PBE) for a relaxed NbRh3N crystal.

Magnetization, Bohr magnetons per cell: 3.0
Fermi-level density of states, states/eV per cell: 3.6

Cell lengths 4.7680, 4.7680, 4.7680 Å; angles 90.00, 90.00, 90.00 degrees
Site moments in Bohr magnetons follow the coordinates.
Fractional coordinates of all 5 atoms:
Nb1 0.0000 0.0000 0.0000  -0.12
Rh1 0.0000 0.5000 0.0000  0.38
Rh2 0.0000 0.0000 0.5000  0.26
Rh3 0.5000 0.0000 0.0000  0.29
N1 0.5000 0.5000 0.5000  1.57



ii:
Density functional theory data (PBE) for a relaxed NbRh3N crystal.

Magnetization, Bohr magnetons per cell: 0.0
Fermi-level density of states, states/eV per cell: 5.3

Cell lengths 4.0993, 4.0993, 4.0993 Å; angles 90.00, 90.00, 90.00 degrees
Fractional coordinates of all 5 atoms:
Nb1 0.5000 0.5000 0.5000
Rh1 0.0000 0.5000 0.0000
Rh2 0.0000 0.0000 0.5000
Rh3 0.5000 0.0000 0.0000
N1 0.0000 0.0000 0.0000



ii comes first in stability; the runner-up is 2.010 eV/atom higher.



i:
Density functional theory data (PBE) for a relaxed NbRhN2 crystal.

Magnetization, Bohr magnetons per cell: 0.0
Fermi-level density of states, states/eV per cell: 3.8

Cell lengths 3.8851, 3.8851, 3.8851 Å; angles 60.00, 60.00, 60.00 degrees
Fractional coordinates of all 4 atoms:
Nb1 0.0000 0.0000 0.0000
Rh1 0.5000 0.5000 0.5000
N1 0.2500 0.2500 0.2500
N2 0.7500 0.7500 0.7500



ii:
Density functional theory data (PBE) for a relaxed NbRhN2 crystal.

Magnetization, Bohr magnetons per cell: 0.0
Fermi-level density of states, states/eV per cell: 2.2

Cell lengths 4.6851, 4.6851, 5.8418 Å; angles 66.36, 66.36, 90.00 degrees
Fractional coordinates of all 8 atoms:
Nb1 0.5000 0.5000 0.0000
Nb2 0.2500 0.7500 0.5000
Rh1 0.0000 0.0000 0.0000
Rh2 0.7500 0.2500 0.5000
N1 0.6089 0.1250 0.2500
N2 0.1411 0.6250 0.2500
N3 0.3750 0.3911 0.7500
N4 0.8750 0.8589 0.7500



ii comes first in stability; the runner-up is 0.600 eV/atom higher.



i:
Density functional theory data (PBE) for a relaxed NbRhSe2N crystal.

Magnetization, Bohr magnetons per cell: 0.7
Fermi-level density of states, states/eV per cell: 5.4

Cell lengths 5.1326, 3.8176, 5.1326 Å; angles 90.00, 90.00, 90.00 degrees
Site moments in Bohr magnetons follow the coordinates.
Fractional coordinates of all 5 atoms:
Nb1 0.0000 0.0000 0.0000  0.04
Rh1 0.5000 0.5000 0.5000  0.48
Se1 0.0000 0.0000 0.5000  0.02
Se2 0.5000 0.0000 0.0000  0.01
N1 0.0000 0.5000 0.0000  0.11



ii:
Density functional theory data (PBE) for a relaxed NbRhSe2N crystal.

Magnetization, Bohr magnetons per cell: 2.4
Fermi-level density of states, states/eV per cell: 4.2

Cell lengths 5.0762, 5.0762, 3.6243 Å; angles 90.00, 90.00, 90.00 degrees
Site moments in Bohr magnetons follow the coordinates.
Fractional coordinates of all 5 atoms:
Nb1 0.5000 0.5000 0.5000  2.06
Rh1 0.0000 0.0000 0.0000  0.03
Se1 0.0000 0.5000 0.0000  -0.09
Se2 0.5000 0.0000 0.0000  -0.09
N1 0.0000 0.0000 0.5000  0.04



i comes first in stability; the runner-up is 0.051 eV/atom higher.



i:
Density functional theory data (PBE) for a relaxed NbTeRhN2 crystal.

Magnetization, Bohr magnetons per cell: 0.2
Fermi-level density of states, states/eV per cell: 4.2

Cell lengths 3.9748, 3.9748, 5.9568 Å; angles 90.00, 90.00, 90.00 degrees
Site moments in Bohr magnetons follow the coordinates.
Fractional coordinates of all 5 atoms:
Nb1 0.0000 0.0000 0.0000  0.07
Te1 0.0000 0.0000 0.5000  0.02
Rh1 0.5000 0.5000 0.5000  0.64
N1 0.0000 0.5000 0.0000  -0.22
N2 0.5000 0.0000 0.0000  -0.22



ii:
Density functional theory data (PBE) for a relaxed NbTeRhN2 crystal.

Magnetization, Bohr magnetons per cell: 1.3
Fermi-level density of states, states/eV per cell: 4.5

Cell lengths 3.9433, 3.9433, 5.5231 Å; angles 90.00, 90.00, 90.00 degrees
Site moments in Bohr magnetons follow the coordinates.
Fractional coordinates of all 5 atoms:
Nb1 0.5000 0.5000 0.5000  1.89
Te1 0.0000 0.0000 0.5000  -0.06
Rh1 0.0000 0.0000 0.0000  0.09
N1 0.0000 0.5000 0.0000  -0.37
N2 0.5000 0.0000 0.0000  -0.37



i comes first in stability; the runner-up is 0.661 eV/atom higher.



i:
Density functional theory data (PBE) for a relaxed Nb2RuN2 crystal.

Magnetization, Bohr magnetons per cell: 0.0
Fermi-level density of states, states/eV per cell: 0.3

Cell lengths 3.4650, 3.4650, 6.1109 Å; angles 73.53, 73.53, 90.00 degrees
Fractional coordinates of all 5 atoms:
Ru1 0.0000 0.0000 0.0000
Nb1 0.3512 0.3512 0.2977
Nb2 0.6488 0.6488 0.7023
N1 0.7500 0.2500 0.5000
N2 0.2500 0.7500 0.5000



ii:
Density functional theory data (PBE) for a relaxed Nb2RuN2 crystal.

Magnetization, Bohr magnetons per cell: 0.0
Fermi-level density of states, states/eV per cell: 9.4

Cell lengths 6.5936, 6.5936, 2.8066 Å; angles 90.00, 90.00, 90.00 degrees
Fractional coordinates of all 10 atoms:
Ru1 0.0000 0.0000 0.0000
Ru2 0.5000 0.5000 0.0000
Nb1 0.3494 0.8494 0.0000
Nb2 0.8494 0.6506 0.0000
Nb3 0.6506 0.1506 0.0000
Nb4 0.1506 0.3494 0.0000
N1 0.1309 0.6309 0.5000
N2 0.6309 0.8691 0.5000
N3 0.8691 0.3691 0.5000
N4 0.3691 0.1309 0.5000



i comes first in stability; the runner-up is 0.446 eV/atom higher.



i:
Density functional theory data (PBE) for a relaxed NbRuS2N crystal.

Magnetization, Bohr magnetons per cell: 4.0
Fermi-level density of states, states/eV per cell: 4.6

Cell lengths 4.9083, 4.9083, 3.8881 Å; angles 90.00, 90.00, 90.00 degrees
Site moments in Bohr magnetons follow the coordinates.
Fractional coordinates of all 5 atoms:
Ru1 0.5000 0.5000 0.5000  2.94
Nb1 0.0000 0.0000 0.0000  -0.01
S1 0.0000 0.5000 0.0000  0.16
S2 0.5000 0.0000 0.0000  0.16
N1 0.0000 0.0000 0.5000  0.28



ii:
Density functional theory data (PBE) for a relaxed NbRuS2N crystal.

Magnetization, Bohr magnetons per cell: 1.8
Fermi-level density of states, states/eV per cell: 4.8

Cell lengths 4.7793, 4.7793, 3.6212 Å; angles 90.00, 90.00, 90.00 degrees
Site moments in Bohr magnetons follow the coordinates.
Fractional coordinates of all 5 atoms:
Ru1 0.0000 0.0000 0.0000  -0.06
Nb1 0.5000 0.5000 0.5000  1.79
S1 0.0000 0.5000 0.0000  -0.08
S2 0.5000 0.0000 0.0000  -0.08
N1 0.0000 0.0000 0.5000  -0.02



ii comes first in stability; the runner-up is 0.134 eV/atom higher.



i:
Density functional theory data (PBE) for a relaxed NbTe2RuN crystal.

Magnetization, Bohr magnetons per cell: 2.2
Fermi-level density of states, states/eV per cell: 7.2

Cell lengths 5.5135, 5.5135, 3.8373 Å; angles 90.00, 90.00, 90.00 degrees
Site moments in Bohr magnetons follow the coordinates.
Fractional coordinates of all 5 atoms:
Ru1 0.5000 0.5000 0.5000  2.04
Nb1 0.0000 0.0000 0.0000  0.16
Te1 0.0000 0.5000 0.0000  -0.05
Te2 0.5000 0.0000 0.0000  -0.05
N1 0.0000 0.0000 0.5000  0.00



ii:
Density functional theory data (PBE) for a relaxed NbTe2RuN crystal.

Magnetization, Bohr magnetons per cell: 2.1
Fermi-level density of states, states/eV per cell: 2.8

Cell lengths 5.3802, 5.3802, 3.6456 Å; angles 90.00, 90.00, 90.00 degrees
Site moments in Bohr magnetons follow the coordinates.
Fractional coordinates of all 5 atoms:
Ru1 0.0000 0.0000 0.0000  0.01
Nb1 0.5000 0.5000 0.5000  1.89
Te1 0.0000 0.5000 0.0000  -0.09
Te2 0.5000 0.0000 0.0000  -0.09
N1 0.0000 0.0000 0.5000  0.03



ii comes first in stability; the runner-up is 0.247 eV/atom higher.



i:
Density functional theory data (PBE) for a relaxed NbS3N crystal.

Magnetization, Bohr magnetons per cell: 0.8
Fermi-level density of states, states/eV per cell: 2.7

Cell lengths 4.0902, 4.0902, 4.0902 Å; angles 90.00, 90.00, 90.00 degrees
Site moments in Bohr magnetons follow the coordinates.
Fractional coordinates of all 5 atoms:
Nb1 0.5000 0.5000 0.5000  0.85
S1 0.0000 0.5000 0.0000  -0.06
S2 0.0000 0.0000 0.5000  -0.04
S3 0.5000 0.0000 0.0000  -0.04
N1 0.0000 0.0000 0.0000  -0.01



ii:
Density functional theory data (PBE) for a relaxed NbS3N crystal.

Magnetization, Bohr magnetons per cell: 2.9
Fermi-level density of states, states/eV per cell: 2.5

Cell lengths 4.8066, 4.8066, 4.8066 Å; angles 90.00, 90.00, 90.00 degrees
Site moments in Bohr magnetons follow the coordinates.
Fractional coordinates of all 5 atoms:
Nb1 0.0000 0.0000 0.0000  0.12
S1 0.0000 0.5000 0.0000  -0.02
S2 0.0000 0.0000 0.5000  0.03
S3 0.5000 0.0000 0.0000  -0.01
N1 0.5000 0.5000 0.5000  1.87



i comes first in stability; the runner-up is 0.010 eV/atom higher.